Record 1
## Fe2MoBr (PBE)

Data for an optimized crystal structure of Fe2MoBr.

```
Fe2MoBr
1.0
2.878 0.005 0.000
-1.159 2.635 0.000
0.000 0.000 8.366
Br Fe Mo
1 2 1
Direct
0.500 0.500 0.750 Br
0.000 0.000 0.488 Fe
0.000 0.000 0.012 Fe
0.500 0.500 0.250 Mo
```

Results
DFT total energy	-6.765	eV/atom
ΔE_f (raw)	0.593	eV per atom
total magnetization	1.324	μB/atom
energy relative to the lowest polymorph listed for this composition	168	meV per atom



Record 2
## CaLa4Cd5 (PBE)

Data for an optimized crystal structure of CaLa4Cd5.

```
CaLa4Cd5
1.0
-1.030 2.938 2.369
-2.959 0.896 -2.397
-11.786 -12.189 9.993
Cd La Ca
5 4 1
Direct
0.500 0.500 0.097 Cd
0.500 0.500 0.500 Cd
0.500 0.500 0.299 Cd
0.500 0.500 0.903 Cd
0.500 0.500 0.701 Cd
0.000 0.000 0.802 La
0.000 0.000 0.602 La
0.000 0.000 0.198 La
0.000 0.000 0.398 La
0.000 0.000 0.000 Ca
```

Results
DFT total energy	-2.968	eV/atom
formation energy from the elements	-7.82	kcal/mol of atoms
total magnetization	0.002	μB/atom



Record 3
## KMn2Te (PBE)

Data for an optimized crystal structure of KMn2Te.

```
KMn2Te
1.0
-3.066 2.517 -2.263
-3.969 -1.856 -1.289
-4.967 1.961 4.200
K Mn Te
1 2 1
Direct
0.250 0.250 0.250 K
0.436 0.436 0.691 Mn
0.064 0.064 0.809 Mn
0.750 0.750 0.750 Te
```

Results
DFT total energy	-5.318	eV/atom
ΔE_f (raw)	0.327	eV per atom
total magnetization	1.677	μB/atom



Record 4
## CaTb2Sm3Se6 (PBE)

Data for an optimized crystal structure of CaTb2Sm3Se6.

```
CaTb2Sm3Se6
1.0
7.162 -0.006 0.002
-3.584 6.200 0.002
-1.191 -2.062 6.817
Ca Sm Se Tb
1 3 6 2
Direct
0.000 0.000 0.000 Ca
0.500 0.500 0.500 Sm
0.165 0.835 0.500 Sm
0.835 0.165 0.500 Sm
0.747 0.747 0.241 Se
0.585 0.919 0.756 Se
0.919 0.585 0.756 Se
0.081 0.415 0.244 Se
0.253 0.253 0.759 Se
0.415 0.081 0.244 Se
0.667 0.333 0.000 Tb
0.333 0.667 0.000 Tb
```

Results
DFT total energy	-5.689	eV/atom
ΔE_f (raw)	-1.829	eV per atom
total magnetization	0.000	μB/atom



Record 5
## Sb2MoCl (PBE)

Data for an optimized crystal structure of Sb2MoCl.

```
Sb2MoCl
1.0
-0.956 -3.151 -7.411
4.422 -1.791 -6.558
-2.252 -0.167 7.789
Mo Cl Sb
1 1 2
Direct
0.272 0.772 0.500 Mo
0.395 0.395 0.000 Cl
0.104 0.104 0.000 Sb
0.728 0.228 0.500 Sb
```

Results
DFT total energy	-5.136	eV/atom
ΔE_f (raw)	0.094	eV per atom
total magnetization	0.000	μB/atom
energy relative to the lowest polymorph listed for this composition	107	meV per atom



Record 6
## Ca2Zr (PBE)

Data for an optimized crystal structure of Ca2Zr.

```
Ca2Zr
1.0
-2.802 1.241 -1.657
2.250 -2.058 -1.684
-4.751 -7.297 2.570
Zr Ca
1 2
Direct
0.000 0.000 0.000 Zr
0.333 0.667 0.689 Ca
0.667 0.333 0.311 Ca
```

Results
DFT total energy	-3.875	eV/atom
formation energy from the elements	7.11	kcal/mol of atoms
total magnetization	0.000	μB/atom
energy relative to the lowest polymorph listed for this composition	67	meV per atom



Record 7
## CeDyTlSn (PBE)

Data for an optimized crystal structure of CeDyTlSn.

```
CeDyTlSn
1.0
-5.092 1.796 -0.440
-3.045 0.623 4.437
-1.278 4.971 1.732
Tl Sn Dy Ce
1 1 1 1
Direct
0.750 0.750 0.750 Tl
0.250 0.250 0.250 Sn
0.000 0.000 0.000 Dy
0.500 0.500 0.500 Ce
```

Results
DFT total energy	-4.650	eV/atom
formation energy from the elements	-9.77	kcal/mol of atoms
total magnetization	0.282	μB/atom
energy relative to the lowest polymorph listed for this composition	12	meV per atom



Record 8
## InBiH2Br (PBE)

Data for an optimized crystal structure of InBiH2Br.

```
InBiH2Br
1.0
-2.338 -3.306 -0.524
6.014 -3.318 -5.891
1.960 -1.870 3.055
Bi H In Br
1 2 1 1
Direct
0.000 0.500 0.000 Bi
0.500 0.000 0.000 H
0.000 0.000 0.500 H
0.500 0.500 0.500 In
0.000 0.000 0.000 Br
```

Results
DFT total energy	-2.387	eV/atom
total magnetization	0.043	μB/atom



Record 9
## Tb3Tm2Hg4 (PBE)

Data for an optimized crystal structure of Tb3Tm2Hg4.

```
Tb3Tm2Hg4
1.0
6.901 0.000 0.000
0.000 7.889 0.000
-3.450 0.000 9.176
Hg Tm Tb
8 4 6
Direct
0.180 0.750 0.860 Hg
0.680 0.750 0.860 Hg
0.320 0.250 0.140 Hg
0.163 0.963 0.325 Hg
0.337 0.463 0.675 Hg
0.820 0.250 0.140 Hg
0.663 0.537 0.325 Hg
0.837 0.037 0.675 Hg
0.594 0.914 0.187 Tm
0.094 0.586 0.187 Tm
0.906 0.414 0.813 Tm
0.406 0.086 0.813 Tm
0.000 0.000 0.000 Tb
0.989 0.250 0.478 Tb
0.500 0.500 0.000 Tb
0.489 0.250 0.478 Tb
0.011 0.750 0.522 Tb
0.511 0.750 0.522 Tb
```

Results
DFT total energy	-2.964	eV/atom
formation energy from the elements	-6.75	kcal/mol of atoms
total magnetization	0.000	μB/atom



Record 10
## NdSn3Ir3 (PBE)

Data for an optimized crystal structure of NdSn3Ir3.

```
NdSn3Ir3
1.0
-5.949 -3.750 -1.855
0.104 -7.272 0.109
-3.857 -3.611 5.411
Ir Sn Nd
6 6 2
Direct
0.176 0.704 0.203 Ir
0.917 0.176 0.203 Ir
0.824 0.296 0.797 Ir
0.296 0.083 0.797 Ir
0.083 0.824 0.797 Ir
0.704 0.917 0.203 Ir
0.464 0.262 0.359 Sn
0.915 0.464 0.359 Sn
0.262 0.915 0.359 Sn
0.085 0.536 0.641 Sn
0.738 0.085 0.641 Sn
0.536 0.738 0.641 Sn
0.343 0.343 0.970 Nd
0.657 0.657 0.030 Nd
```

Results
DFT total energy	-6.483	eV/atom
formation energy from the elements	-6.66	kcal/mol of atoms
total magnetization	0.000	μB/atom
energy relative to the lowest polymorph listed for this composition	0	meV per atom



Record 11
## Zr2CdTc (PBE)

Data for an optimized crystal structure of Zr2CdTc.

```
Zr2CdTc
1.0
4.163 0.000 0.000
0.000 4.163 0.000
2.082 2.082 9.889
Cd Zr Tc
2 4 2
Direct
0.000 0.000 0.000 Cd
0.750 0.250 0.500 Cd
0.875 0.860 0.750 Zr
0.375 0.390 0.750 Zr
0.610 0.125 0.250 Zr
0.140 0.625 0.250 Zr
0.250 0.750 0.500 Tc
0.500 0.500 0.000 Tc
```

Results
DFT total energy	-6.497	eV/atom
formation energy from the elements	13.76	kcal/mol of atoms
total magnetization	0.159	μB/atom



Record 12
## CdRe2Ir (PBE)

Data for an optimized crystal structure of CdRe2Ir.

```
CdRe2Ir
1.0
-0.331 1.301 4.836
-2.953 1.273 3.854
-0.716 -4.297 2.030
Re Ir Cd
2 1 1
Direct
0.485 0.485 0.516 Re
0.015 0.015 0.984 Re
0.750 0.750 0.750 Ir
0.250 0.250 0.250 Cd
```

Results
DFT total energy	-8.331	eV/atom
formation energy from the elements	7.77	kcal/mol of atoms
total magnetization	0.000	μB/atom



Record 13
## Tl3InHg5 (PBE)

Data for an optimized crystal structure of Tl3InHg5.

```
Tl3InHg5
1.0
-5.980 -1.284 -1.618
-1.801 -3.028 9.058
-1.362 9.328 -2.367
Tl Hg In
6 10 2
Direct
0.750 0.000 0.374 Tl
0.750 0.374 0.000 Tl
0.250 0.374 0.374 Tl
0.250 0.000 0.626 Tl
0.250 0.626 0.000 Tl
0.750 0.626 0.626 Tl
0.750 0.000 0.710 Hg
0.250 0.710 0.710 Hg
0.250 0.000 0.290 Hg
0.750 0.290 0.290 Hg
0.500 0.333 0.667 Hg
0.500 0.667 0.333 Hg
0.750 0.710 0.000 Hg
0.250 0.290 0.000 Hg
0.000 0.333 0.667 Hg
0.000 0.667 0.333 Hg
0.500 0.000 0.000 In
0.000 0.000 0.000 In
```

Results
DFT total energy	-1.258	eV/atom
formation energy from the elements	0.06	kcal/mol of atoms
total magnetization	0.000	μB/atom



Record 14
## Y8In2Os (PBE)

Data for an optimized crystal structure of Y8In2Os.

```
Y8In2Os
1.0
5.225 0.000 -1.590
-1.045 6.043 -3.432
-0.077 1.084 9.127
Y In Os
8 2 1
Direct
0.808 0.808 0.617 Y
0.000 0.241 0.000 Y
0.626 0.387 0.253 Y
0.374 0.135 0.747 Y
0.192 0.192 0.383 Y
0.626 0.865 0.253 Y
0.374 0.613 0.747 Y
0.000 0.759 0.000 Y
0.814 0.314 0.628 In
0.186 0.686 0.372 In
0.500 0.000 0.000 Os
```

Results
DFT total energy	-6.467	eV/atom
formation energy from the elements	-5.70	kcal/mol of atoms
total magnetization	0.000	μB/atom



Record 15
## Na2Tl4Pb (PBE)

Data for an optimized crystal structure of Na2Tl4Pb.

```
Na2Tl4Pb
1.0
-6.077 8.310 -4.783
2.997 -1.172 -5.843
-5.690 -3.272 1.545
Tl Na Pb
8 4 2
Direct
0.250 0.915 0.500 Tl
0.750 0.585 0.500 Tl
0.250 0.415 0.500 Tl
0.275 0.856 0.000 Tl
0.225 0.356 0.000 Tl
0.725 0.144 0.000 Tl
0.750 0.085 0.500 Tl
0.775 0.644 0.000 Tl
0.500 0.163 0.326 Na
0.000 0.663 0.326 Na
0.500 0.837 0.674 Na
0.000 0.337 0.674 Na
0.500 0.500 0.000 Pb
0.000 0.000 0.000 Pb
```

Results
DFT total energy	-2.255	eV/atom
formation energy from the elements	0.08	kcal/mol of atoms
total magnetization	0.000	μB/atom
energy relative to the lowest polymorph listed for this composition	0	meV per atom



Record 16
## Th2Zn5Rh (PBE)

Data for an optimized crystal structure of Th2Zn5Rh.

```
Th2Zn5Rh
1.0
4.238 0.000 0.000
-2.119 8.256 0.000
0.000 0.000 9.005
Zn Th Rh
10 4 2
Direct
0.190 0.381 0.609 Zn
0.190 0.381 0.891 Zn
0.810 0.619 0.109 Zn
0.650 0.301 0.017 Zn
0.350 0.699 0.517 Zn
0.600 0.201 0.750 Zn
0.650 0.301 0.483 Zn
0.350 0.699 0.983 Zn
0.810 0.619 0.391 Zn
0.400 0.799 0.250 Zn
0.810 0.619 0.750 Th
0.000 0.000 0.500 Th
0.000 0.000 0.000 Th
0.190 0.381 0.250 Th
0.445 0.890 0.750 Rh
0.555 0.110 0.250 Rh
```

Results
DFT total energy	-3.965	eV/atom
formation energy from the elements	-9.10	kcal/mol of atoms
total magnetization	0.000	μB/atom



Record 17
## Ga2CuOs (PBE)

Data for an optimized crystal structure of Ga2CuOs.

```
Ga2CuOs
1.0
-3.682 -3.993 -4.046
4.930 0.157 -4.641
1.745 -4.084 -3.226
Ga Cu Os
4 2 2
Direct
0.614 0.125 0.250 Ga
0.375 0.386 0.750 Ga
0.875 0.864 0.750 Ga
0.136 0.625 0.250 Ga
0.500 0.500 0.000 Cu
0.250 0.750 0.500 Cu
0.750 0.250 0.500 Os
0.000 0.000 0.000 Os
```

Results
DFT total energy	-4.905	eV/atom
formation energy from the elements	10.15	kcal/mol of atoms
total magnetization	0.059	μB/atom



Record 18
## NaCu3As2 (PBE)

Data for an optimized crystal structure of NaCu3As2.

```
NaCu3As2
1.0
-1.307 3.694 1.539
3.336 0.747 6.799
6.276 4.158 1.111
Cu As Na
6 4 2
Direct
0.001 0.665 0.334 Cu
0.317 0.478 0.888 Cu
0.317 0.888 0.478 Cu
0.683 0.522 0.112 Cu
0.683 0.112 0.522 Cu
0.999 0.335 0.666 Cu
0.500 0.174 0.825 As
0.186 0.314 0.315 As
0.500 0.826 0.175 As
0.814 0.686 0.685 As
0.868 0.132 0.132 Na
0.132 0.868 0.868 Na
```

Results
DFT total energy	-3.885	eV/atom
formation energy from the elements	-1.55	kcal/mol of atoms
total magnetization	0.000	μB/atom
energy relative to the lowest polymorph listed for this composition	97	meV per atom



Record 19
## CaCeCdHg (PBE)

Data for an optimized crystal structure of CaCeCdHg.

```
CaCeCdHg
1.0
-4.851 0.799 2.233
-0.833 -1.284 5.178
-0.672 3.900 3.674
Hg Cd Ce Ca
1 1 1 1
Direct
0.250 0.250 0.250 Hg
0.750 0.750 0.750 Cd
0.500 0.500 0.500 Ce
0.000 0.000 0.000 Ca
```

Results
DFT total energy	-2.631	eV/atom
formation energy from the elements	-7.91	kcal/mol of atoms
total magnetization	0.216	μB/atom



Record 20
## Ce4Ge3Rh (PBE)

Data for an optimized crystal structure of Ce4Ge3Rh.

```
Ce4Ge3Rh
1.0
-0.653 3.571 -2.236
-4.049 -0.161 0.924
1.791 5.883 8.871
Ce Rh Ge
4 1 3
Direct
0.500 0.000 0.639 Ce
0.000 0.000 0.137 Ce
0.500 0.500 0.348 Ce
0.000 0.500 0.866 Ce
0.500 0.500 0.087 Rh
0.000 0.500 0.582 Ge
0.500 0.000 0.926 Ge
0.000 0.000 0.416 Ge
```

Results
DFT total energy	-6.333	eV/atom
formation energy from the elements	-16.50	kcal/mol of atoms
total magnetization	0.368	μB/atom



Record 21
## La2HgW (PBE)

Data for an optimized crystal structure of La2HgW.

```
La2HgW
1.0
6.145 0.011 -0.015
5.319 3.078 -0.015
1.327 0.357 5.503
La Hg W
2 1 1
Direct
0.217 0.217 0.312 La
0.028 0.028 0.950 La
0.787 0.787 0.777 Hg
0.468 0.468 0.461 W
```

Results
DFT total energy	-5.453	eV/atom
formation energy from the elements	7.48	kcal/mol of atoms
total magnetization	0.000	μB/atom



Record 22
## RbAu2O (PBE)

Data for an optimized crystal structure of RbAu2O.

```
RbAu2O
1.0
5.711 0.000 0.000
0.000 5.711 0.000
2.856 2.856 6.883
O Au Rb
2 4 2
Direct
0.500 0.500 0.000 O
0.250 0.750 0.500 O
0.375 0.125 0.250 Au
0.375 0.625 0.250 Au
0.375 0.625 0.750 Au
0.875 0.625 0.750 Au
0.000 0.000 0.000 Rb
0.750 0.250 0.500 Rb
```

Results
DFT total energy	-3.301	eV/atom
ΔE_f (raw)	-0.181	eV per atom
total magnetization	0.000	μB/atom



Record 23
## Ti2AlAu8 (PBE)

Data for an optimized crystal structure of Ti2AlAu8.

```
Ti2AlAu8
1.0
-2.328 2.373 1.555
-3.163 -4.835 2.643
7.908 1.789 4.778
Au Al Ti
8 1 2
Direct
0.797 0.660 0.594 Au
0.644 0.979 0.288 Au
0.203 0.340 0.406 Au
0.600 0.464 0.201 Au
0.974 0.260 0.948 Au
0.026 0.740 0.052 Au
0.400 0.536 0.799 Au
0.356 0.021 0.712 Au
0.500 0.000 0.000 Al
0.798 0.221 0.596 Ti
0.202 0.779 0.404 Ti
```

Results
DFT total energy	-4.374	eV/atom
formation energy from the elements	-4.94	kcal/mol of atoms
total magnetization	0.000	μB/atom
energy relative to the lowest polymorph listed for this composition	61	meV per atom



Record 24
## Sc4Hg2Au (PBE)

Data for an optimized crystal structure of Sc4Hg2Au.

```
Sc4Hg2Au
1.0
-4.053 -0.211 2.652
-3.582 -3.005 -1.282
0.674 -6.813 4.921
Sc Hg Au
4 2 1
Direct
0.125 0.125 0.626 Sc
0.376 0.376 0.873 Sc
0.875 0.875 0.374 Sc
0.624 0.624 0.127 Sc
0.755 0.755 0.736 Hg
0.245 0.245 0.264 Hg
0.000 0.000 0.000 Au
```

Results
DFT total energy	-4.534	eV/atom
formation energy from the elements	-8.33	kcal/mol of atoms
total magnetization	0.000	μB/atom